Here is a geometry-optimized Hg4Te3Cl structure from Alexandria via LeMat-Bulk. Energies are from PBE.

## Properties
formation energy without anion corrections	-0.0003	eV per atom
density of states at the Fermi level	0.358	states/eV per atom
SG	P1

```
Hg4Te3Cl
1.0
-5.742 -1.424 0.509
-2.507 0.479 7.771
-4.509 6.486 1.986
Te Hg Cl
3 4 1
Direct
0.541 0.833 0.831
0.035 0.000 0.000
0.204 0.167 0.168
0.569 0.270 0.273
0.114 0.730 0.727
0.608 0.197 0.802
0.608 0.803 0.198
0.669 0.500 0.500
```

Here is a geometry-optimized HgTe2Cl structure from Alexandria via LeMat-Bulk. Energies are from PBE.

## Properties
energy relative to the lowest polymorph listed for this composition	68.8	meV per atom
formation energy without anion corrections	-0.0694	eV per atom
density of states at the Fermi level	0.405	states/eV per atom
SG	Cmm2

```
HgTe2Cl
1.0
4.306 0.001 0.000
-2.524 3.488 0.000
0.000 0.000 8.998
Cl Hg Te
1 1 2
Direct
0.000 0.000 0.536
0.500 0.500 0.742
0.000 0.000 0.997
0.500 0.500 0.225
```

Here is a geometry-optimized Hg2TeCl structure from Alexandria via LeMat-Bulk. Energies are from PBE.

## Properties
energy relative to the lowest polymorph listed for this composition	214.1	meV per atom
formation energy without anion corrections	-0.0502	eV per atom
density of states at the Fermi level	0.482	states/eV per atom
SG	P2/m

```
Hg2TeCl
1.0
-0.131 -3.011 5.737
1.614 -2.578 -1.316
5.822 0.409 0.347
Cl Hg Te
1 2 1
Direct
0.500 0.750 0.750
0.000 0.149 0.011
0.000 0.351 0.489
0.500 0.250 0.250
```

Here is a geometry-optimized Hg2TeCl structure from Alexandria via LeMat-Bulk. Energies are from PBE.

## Properties
energy relative to the lowest polymorph listed for this composition	17.1	meV per atom
formation energy without anion corrections	-0.2472	eV per atom
density of states at the Fermi level	0.106	states/eV per atom
SG	Pm

```
Hg2TeCl
1.0
4.703 0.000 0.000
0.000 5.572 1.115
0.000 5.474 7.011
Cl Hg Te
1 2 1
Direct
0.500 0.544 0.816
0.000 0.128 0.849
0.500 0.221 0.485
0.000 0.608 0.349
```

Here is a geometry-optimized Hg4Te3Cl2 structure from Alexandria via LeMat-Bulk. Energies are from PBE.

## Properties
formation energy without anion corrections	-0.2920	eV per atom
SG	C2/c

```
Hg4Te3Cl2
1.0
2.148 -5.072 -10.381
-3.352 -4.301 9.250
-6.216 8.406 2.448
Hg Te Cl
8 6 4
Direct
0.597 0.343 0.911
0.903 0.089 0.657
0.403 0.657 0.089
0.097 0.911 0.343
0.924 0.288 0.336
0.576 0.664 0.712
0.076 0.712 0.664
0.424 0.336 0.288
0.068 0.270 0.993
0.432 0.007 0.730
0.932 0.730 0.007
0.568 0.993 0.270
0.750 0.391 0.609
0.250 0.609 0.391
0.647 0.446 0.171
0.853 0.829 0.554
0.353 0.554 0.829
0.147 0.171 0.446
```

Here is a geometry-optimized Hg2TeCl structure from Alexandria via LeMat-Bulk. Energies are from PBE.

## Properties
energy relative to the lowest polymorph listed for this composition	0.0	meV per atom
formation energy without anion corrections	-0.2643	eV per atom
density of states at the Fermi level	0.283	states/eV per atom
SG	C2/m

```
Hg2TeCl
1.0
-3.615 -3.092 -3.569
5.755 -3.009 -3.222
0.197 -8.988 7.589
Hg Te Cl
8 4 4
Direct
0.750 0.005 0.868
0.250 0.995 0.132
0.750 0.495 0.632
0.250 0.505 0.368
0.750 0.401 0.122
0.250 0.599 0.878
0.750 0.099 0.378
0.250 0.901 0.622
0.250 0.498 0.649
0.750 0.502 0.351
0.250 0.002 0.851
0.750 0.998 0.149
0.250 0.013 0.411
0.750 0.987 0.589
0.250 0.487 0.089
0.750 0.513 0.911
```

Here is a geometry-optimized Th2HgCl7 structure from Alexandria via LeMat-Bulk. Energies are from PBE.

## Properties
formation energy without anion corrections	-1.8000	eV per atom
density of states at the Fermi level	0.760	states/eV per atom
SG	Cmmm

```
Th2HgCl7
1.0
-0.725 -5.465 -0.556
7.651 -0.678 -3.317
-0.692 -0.752 8.304
Th Hg Cl
2 1 7
Direct
0.500 0.696 0.304
0.500 0.304 0.696
0.000 0.000 0.000
0.000 0.693 0.307
0.000 0.307 0.693
0.500 0.046 0.332
0.500 0.954 0.668
0.500 0.332 0.046
0.500 0.668 0.954
0.500 0.500 0.500
```

Here is a geometry-optimized ThHgCl6 structure from Alexandria via LeMat-Bulk. Energies are from PBE.

## Properties
formation energy without anion corrections	-1.5170	eV per atom
density of states at the Fermi level	0.000	states/eV per atom
SG	R-3

```
ThHgCl6
1.0
6.762 0.007 0.009
3.373 5.860 0.013
3.369 1.947 6.242
Th Hg Cl
1 1 6
Direct
0.500 0.500 0.500
0.000 0.000 0.000
0.096 0.406 0.750
0.748 0.096 0.750
0.594 0.251 0.250
0.252 0.904 0.250
0.904 0.594 0.250
0.406 0.749 0.750
```

Here is a geometry-optimized Th2HgCl8 structure from Alexandria via LeMat-Bulk. Energies are from PBE.

## Properties
formation energy without anion corrections	-1.9426	eV per atom
density of states at the Fermi level	0.000	states/eV per atom
SG	C2/m

```
Th2HgCl8
1.0
-5.876 7.622 0.543
-0.961 0.877 6.899
4.298 5.307 1.629
Th Hg Cl
2 1 8
Direct
0.451 0.314 0.314
0.549 0.686 0.686
0.000 0.000 0.000
0.389 0.695 0.074
0.611 0.926 0.305
0.216 0.253 0.253
0.784 0.747 0.747
0.389 0.074 0.695
0.611 0.305 0.926
0.683 0.416 0.416
0.317 0.584 0.584
```

Here is a geometry-optimized ThHgCl3 structure from Alexandria via LeMat-Bulk. Energies are from PBE.

## Properties
formation energy without anion corrections	-1.4065	eV per atom
density of states at the Fermi level	0.703	states/eV per atom
SG	Pm-3m

```
ThHgCl3
1.0
-1.927 4.877 1.756
-4.394 -2.531 2.206
2.750 -0.626 4.757
Hg Th Cl
1 1 3
Direct
0.500 0.500 0.500
0.000 0.000 0.000
0.000 0.500 0.000
0.000 0.000 0.500
0.500 0.000 0.000
```

Here is a geometry-optimized Ti2HgCl8 structure from Alexandria via LeMat-Bulk. Energies are from PBE.

## Properties
formation energy without anion corrections	-1.4331	eV per atom
density of states at the Fermi level	0.000	states/eV per atom
SG	C2/m

```
Ti2HgCl8
1.0
-5.540 -2.415 -4.505
7.260 -0.929 -2.124
-2.606 -6.893 6.900
Ti Hg Cl
2 1 8
Direct
0.223 0.446 0.695
0.777 0.554 0.305
0.000 0.000 0.000
0.597 0.665 0.228
0.931 0.335 0.772
0.154 0.308 0.458
0.846 0.692 0.542
0.069 0.665 0.228
0.403 0.335 0.772
0.403 0.807 0.781
0.597 0.193 0.219
```

Here is a geometry-optimized Ti2Hg2Cl structure from Alexandria via LeMat-Bulk. Energies are from PBE.

## Properties
energy relative to the lowest polymorph listed for this composition	0.0	meV per atom
formation energy without anion corrections	-0.2382	eV per atom
density of states at the Fermi level	1.218	states/eV per atom
SG	P4/mbm

```
Ti2Hg2Cl
1.0
6.394 0.000 0.000
0.000 6.394 0.000
0.000 0.000 4.759
Cl Hg Ti
2 4 4
Direct
0.000 0.000 0.000
0.500 0.500 0.000
0.161 0.661 0.500
0.661 0.839 0.500
0.839 0.339 0.500
0.339 0.161 0.500
0.341 0.841 0.000
0.841 0.659 0.000
0.659 0.159 0.000
0.159 0.341 0.000
```

Magnetization per entry: 0.00; 0.00; 0.00; 0.00; 0.00; 0.00; 1.06; 0.00; 0.00; 0.97; 0.00; 0.00 μB per formula unit